A PBEsol-optimized structure of KMg, computed with meta-GGA SCAN.

The structure belongs to space group R-3m (No. 166, hexagonal axes); the cell edges are 5.9518, 5.9518 and 14.6070 Å and the angles 90.00°, 90.00° and 120.00°. The inequivalent atoms are K at (0.0000, 0.0000, 0.1250) and Mg at (0.0000, 0.0000, 0.3746).

The size of the total moment comes out at 0.000 μB/cell. The calculated formation energy comes out at 0.232 eV/atom.